No. 1
First-principles (PBE) data for crystalline CdInP2 at its relaxed geometry, as listed in Alexandria.

Computed properties:
Electronic total energy in eV/atom: -3.541
Total magnetic moment in μB/atom: 0.00
Formation energy from the elements in eV per formula unit: 0.3

Unit cell a=9.537 b=9.537 c=9.537 alpha=20.01 beta=20.01 gamma=20.01
Atoms (fractional coordinates):
1 P 0.979 0.979 0.979
2 Cd 0.508 0.508 0.508
3 In 0.746 0.746 0.746
4 P 0.268 0.268 0.268



No. 2
First-principles (PBE) data for crystalline Ga2FeRh2 at its relaxed geometry, as listed in Alexandria.

Computed properties:
Electronic total energy in eV/atom: -6.156
Total magnetic moment in μB/atom: 0.69
Formation energy from the elements in eV per formula unit: -1.6
Offset from the most stable computed form in eV/f.u.: 0.00

Unit cell a=7.095 b=7.095 c=2.932 alpha=90.00 beta=90.00 gamma=90.00
Site moments in Bohr magnetons follow the coordinates.
Atoms (fractional coordinates):
1 Ga 0.847 0.347 0.500  0.00
2 Rh 0.147 0.353 0.000  0.14
3 Fe 0.500 0.500 0.000  3.10
4 Ga 0.347 0.153 0.500  0.00
5 Fe 0.000 0.000 0.000  3.10
6 Rh 0.353 0.853 0.000  0.14
7 Ga 0.653 0.847 0.500  0.00
8 Ga 0.153 0.653 0.500  0.00
9 Rh 0.853 0.647 0.000  0.14
10 Rh 0.647 0.147 0.000  0.14



No. 3
First-principles (PBE) data for crystalline YZrS2F at its relaxed geometry, as listed in Alexandria.

Computed properties:
Electronic total energy in eV/atom: -5.056
E_form (uncorrected) in meV per atom: -28.2
Total magnetic moment in μB/atom: 0.28

Unit cell a=5.012 b=5.012 c=6.199 alpha=90.00 beta=90.00 gamma=90.00
Site moments in Bohr magnetons follow the coordinates.
Atoms (fractional coordinates):
1 F 0.500 0.500 0.500  -0.03
2 S 0.000 0.500 0.000  -0.06
3 S 0.500 0.000 0.000  -0.06
4 Zr 0.000 0.000 0.500  1.08
5 Y 0.000 0.000 0.000  0.06



No. 4
First-principles (PBE) data for crystalline La4Sm3ScTe8 at its relaxed geometry, as listed in Alexandria.

Computed properties:
Electronic total energy in eV/atom: -5.526
E_form (uncorrected) in meV per atom: -1443.0
Total magnetic moment in μB/atom: 0.00

Unit cell a=8.970 b=8.961 c=8.970 alpha=120.03 beta=120.00 gamma=90.00
Atoms (fractional coordinates):
1 La 0.000 0.000 0.500
2 Te 0.239 0.733 0.994
3 La 0.500 0.000 0.500
4 Te 0.253 0.259 0.506
5 La 0.000 0.000 0.000
6 Sc 0.000 0.500 0.000
7 Te 0.239 0.733 0.479
8 Te 0.245 0.267 0.006
9 Sm 0.500 0.500 0.500
10 Te 0.747 0.741 0.494
11 Sm 0.500 0.500 0.000
12 Te 0.761 0.267 0.521
13 Te 0.755 0.733 0.994
14 La 0.500 0.000 0.000
15 Te 0.761 0.267 0.006
16 Sm 0.000 0.500 0.500



No. 5
First-principles (PBE) data for crystalline B2C at its relaxed geometry, as listed in Alexandria.

Computed properties:
Electronic total energy in eV/atom: -7.062
Total magnetic moment in μB/atom: 0.00
Formation energy from the elements in eV per formula unit: 1.4
Offset from the most stable computed form in eV/f.u.: 0.84

Unit cell a=7.346 b=7.346 c=4.944 alpha=72.56 beta=72.56 gamma=19.89
Atoms (fractional coordinates):
1 B 0.999 0.999 0.032
2 B 0.164 0.164 0.102
3 B 0.869 0.869 0.984
4 B 0.613 0.613 0.383
5 B 0.765 0.765 0.492
6 C 0.462 0.462 0.245
7 C 0.656 0.656 0.658
8 C 0.497 0.497 0.500
9 B 0.346 0.346 0.308
10 B 0.286 0.286 0.021
11 C 0.118 0.118 0.830
12 B 0.975 0.975 0.696



No. 6
First-principles (PBE) data for crystalline Ca2PuTlCl8 at its relaxed geometry, as listed in Alexandria.

Computed properties:
Electronic total energy in eV/atom: -4.930
E_form (uncorrected) in meV per atom: -1973.9
Total magnetic moment in μB/atom: 0.42

Unit cell a=6.693 b=6.543 c=8.690 alpha=90.00 beta=90.00 gamma=89.74
Site moments in Bohr magnetons follow the coordinates.
Atoms (fractional coordinates):
1 Cl 0.827 0.244 0.785  -0.02
2 Cl 0.674 0.728 0.000  -0.01
3 Ca 0.500 0.500 0.254  0.00
4 Cl 0.632 0.718 0.500  0.00
5 Ca 0.500 0.500 0.746  0.00
6 Tl 0.000 0.000 0.500  0.00
7 Cl 0.173 0.756 0.785  -0.02
8 Cl 0.173 0.756 0.215  -0.02
9 Cl 0.827 0.244 0.215  -0.02
10 Cl 0.326 0.272 0.000  -0.01
11 Pu 0.000 0.000 0.000  5.03
12 Cl 0.368 0.282 0.500  0.00



No. 7
First-principles (PBE) data for crystalline Sm6Er12Th at its relaxed geometry, as listed in Alexandria.

Computed properties:
Electronic total energy in eV/atom: -4.611
Total magnetic moment in μB/atom: 0.00
Formation energy from the elements in eV per formula unit: 2.9
Offset from the most stable computed form in eV/f.u.: 0.00

Unit cell a=8.516 b=8.516 c=8.516 alpha=88.92 beta=88.92 gamma=88.92
Atoms (fractional coordinates):
1 Er 0.346 0.009 0.215
2 Sm 0.314 0.746 0.913
3 Er 0.772 0.542 0.441
4 Er 0.542 0.441 0.772
5 Er 0.228 0.458 0.559
6 Sm 0.087 0.686 0.254
7 Er 0.654 0.991 0.785
8 Er 0.991 0.785 0.654
9 Sm 0.913 0.314 0.746
10 Sm 0.746 0.913 0.314
11 Sm 0.686 0.254 0.087
12 Er 0.785 0.654 0.991
13 Th 0.000 0.000 0.000
14 Er 0.215 0.346 0.009
15 Sm 0.254 0.087 0.686
16 Er 0.441 0.772 0.542
17 Er 0.559 0.228 0.458
18 Er 0.009 0.215 0.346
19 Er 0.458 0.559 0.228



No. 8
First-principles (PBE) data for crystalline NdPaGeAu at its relaxed geometry, as listed in Alexandria.

Computed properties:
Electronic total energy in eV/atom: -5.907
Total magnetic moment in μB/atom: 0.63
Formation energy from the elements in eV per formula unit: -1.5

Unit cell a=5.178 b=5.178 c=5.178 alpha=60.00 beta=60.00 gamma=60.00
Site moments in Bohr magnetons follow the coordinates.
Atoms (fractional coordinates):
1 Au 0.750 0.750 0.750  0.07
2 Pa 0.000 0.000 0.000  1.38
3 Nd 0.500 0.500 0.500  0.36
4 Ge 0.250 0.250 0.250  -0.02